[1]
DFT (meta-GGA SCAN) results for a PBEsol-optimized structure of AlHgW2.

Energy relative to the elements: 535 meV per atom
Electronic total energy: -53.2882 eV/atom

Cell: 3.8497 3.8497 5.1840 Å, 111.80 111.80 90.00°
Closest atoms and distances in Å follow each position.
Fractional positions:
Hg  0.0000  0.0000  0.0000  4 Al 2.72, 8 W 2.93
W  0.7500  0.2500  0.5000  4 W 2.72, 4 Hg 2.93, 4 Al 2.93
W  0.2500  0.7500  0.5000  4 W 2.72, 4 Al 2.93, 4 Hg 2.93
Al  0.5000  0.5000  0.0000  4 Hg 2.72, 8 W 2.93

[2]
DFT (meta-GGA SCAN) results for a PBEsol-optimized structure of ZrGaIr3.

Energy relative to the elements: 422 meV per atom
Electronic total energy: -51.6466 eV/atom

Cell: 4.4612 4.4612 4.4612 Å, 90.00 90.00 90.00°
Closest atoms and distances in Å follow each position.
Fractional positions:
Ir  0.0000  0.5000  0.0000  2 Ga 2.23
Ir  0.0000  0.0000  0.5000  2 Ga 2.23
Ir  0.5000  0.0000  0.0000  2 Ga 2.23
Ga  0.0000  0.0000  0.0000  6 Ir 2.23
Zr  0.5000  0.5000  0.5000  12 Ir 3.15

[3]
DFT (meta-GGA SCAN) results for a PBEsol-optimized structure of KReSb2.

Electronic total energy: -38.2910 eV/atom
Energy relative to the elements, uncorrected: 195.9 meV/atom

Cell: 3.4090 4.7681 7.9922 Å, 104.95 90.00 110.95°
Closest atoms and distances in Å follow each position.
Fractional positions:
K  0.5626  0.1253  0.5177  2 K 3.41, 6 Sb 3.58-3.64, 2 Re 3.71
Re  0.2372  0.4744  0.9392  5 Sb 2.59-2.65
Sb  0.9306  0.8613  0.8532  3 Re 2.62-2.65
Sb  0.7695  0.5390  0.1900  2 Re 2.59